1.
CsCd2Cu | PBE-GGA | relaxed

a = 4.795 Å, b = 4.795 Å, c = 20.458 Å
α = 90.00°, β = 90.00°, γ = 120.00°
Sites, in units of the cell vectors:
Cs1 0.000 0.000 0.000
Cs2 0.333 0.667 0.667
Cs3 0.667 0.333 0.333
Cd1 0.000 0.000 0.188
Cd2 0.000 0.000 0.812
Cd3 0.333 0.667 0.479
Cd4 0.333 0.667 0.854
Cd5 0.667 0.333 0.146
Cd6 0.667 0.333 0.521
Cu1 0.000 0.000 0.500
Cu2 0.333 0.667 0.167
Cu3 0.667 0.333 0.833

D(E_F)	8.023	states/eV per cell
volume	33.951	Å³/atom
formation energy	0.05	eV/atom
energy above the lowest structure with this stoichiometry	0.00	eV per formula unit
SG	No. 166
total DFT energy (no corrections)	-1.647	eV per atom
magnetization	0.00	μB per cell

2.
CsCd2Cu | PBE-GGA | relaxed

a = 8.064 Å, b = 8.064 Å, c = 8.064 Å
α = 90.00°, β = 90.00°, γ = 90.00°
Sites, in units of the cell vectors:
Cs1 0.000 0.000 0.000
Cs2 0.000 0.500 0.500
Cs3 0.500 0.000 0.500
Cs4 0.500 0.500 0.000
Cd1 0.250 0.250 0.250
Cd2 0.250 0.250 0.750
Cd3 0.250 0.750 0.250
Cd4 0.250 0.750 0.750
Cd5 0.750 0.250 0.250
Cd6 0.750 0.250 0.750
Cd7 0.750 0.750 0.250
Cd8 0.750 0.750 0.750
Cu1 0.000 0.000 0.500
Cu2 0.000 0.500 0.000
Cu3 0.500 0.000 0.000
Cu4 0.500 0.500 0.500

D(E_F)	4.507	states/eV per cell
volume	32.774	Å³/atom
formation energy	0.41	eV/atom
energy above the lowest structure with this stoichiometry	1.46	eV per formula unit
SG	No. 225
total DFT energy (no corrections)	-1.281	eV per atom
magnetization	0.00	μB per cell

3.
Cs2CdCu | PBE-GGA | relaxed

a = 10.180 Å, b = 10.180 Å, c = 8.072 Å
α = 90.00°, β = 90.00°, γ = 90.00°
Sites, in units of the cell vectors:
Cs1 0.211 0.750 0.125
Cs2 0.250 0.211 0.875
Cs3 0.250 0.289 0.375
Cs4 0.289 0.750 0.625
Cs5 0.711 0.250 0.625
Cs6 0.750 0.711 0.375
Cs7 0.750 0.789 0.875
Cs8 0.789 0.250 0.125
Cd1 0.000 0.000 0.500
Cd2 0.000 0.500 0.750
Cd3 0.500 0.000 0.250
Cd4 0.500 0.500 0.000
Cu1 0.000 0.000 0.000
Cu2 0.000 0.500 0.250
Cu3 0.500 0.000 0.750
Cu4 0.500 0.500 0.500

D(E_F)	13.388	states/eV per cell
volume	52.283	Å³/atom
formation energy	0.35	eV/atom
energy above the lowest structure with this stoichiometry	0.29	eV per formula unit
SG	No. 122
total DFT energy (no corrections)	-1.329	eV per atom
magnetization	0.00	μB per cell

4.
Cs2Cd2Cu | PBE-GGA | relaxed

a = 7.822 Å, b = 7.822 Å, c = 6.216 Å
α = 90.00°, β = 90.00°, γ = 90.00°
Sites, in units of the cell vectors:
Cs1 0.179 0.321 0.000
Cs2 0.321 0.821 0.000
Cs3 0.679 0.179 0.000
Cs4 0.821 0.679 0.000
Cd1 0.145 0.645 0.500
Cd2 0.355 0.145 0.500
Cd3 0.645 0.855 0.500
Cd4 0.855 0.355 0.500
Cu1 0.000 0.000 0.500
Cu2 0.500 0.500 0.500

D(E_F)	6.812	states/eV per cell
volume	38.036	Å³/atom
formation energy	0.22	eV/atom
energy above the lowest structure with this stoichiometry	0.09	eV per formula unit
SG	No. 127
total DFT energy (no corrections)	-1.305	eV per atom
magnetization	0.00	μB per cell

5.
Cs3CdCu | PBE-GGA | relaxed

a = 6.916 Å, b = 6.916 Å, c = 6.916 Å
α = 90.00°, β = 90.00°, γ = 90.00°
Sites, in units of the cell vectors:
Cs1 0.000 0.000 0.500
Cs2 0.000 0.500 0.000
Cs3 0.500 0.000 0.000
Cd1 0.500 0.500 0.500
Cu1 0.000 0.000 0.000

D(E_F)	7.760	states/eV per cell
volume	66.153	Å³/atom
formation energy	0.26	eV/atom
energy above the lowest structure with this stoichiometry	0.00	eV per formula unit
SG	No. 221
total DFT energy (no corrections)	-1.251	eV per atom
magnetization	0.70	μB per cell

6.
CsCd3Cu | PBE-GGA | relaxed

a = 5.320 Å, b = 5.320 Å, c = 5.320 Å
α = 90.00°, β = 90.00°, γ = 90.00°
Sites, in units of the cell vectors:
Cs1 0.000 0.000 0.000
Cd1 0.000 0.500 0.500
Cd2 0.500 0.000 0.500
Cd3 0.500 0.500 0.000
Cu1 0.500 0.500 0.500

D(E_F)	2.904	states/eV per cell
volume	30.106	Å³/atom
formation energy	0.06	eV/atom
SG	No. 221
total DFT energy (no corrections)	-1.480	eV per atom
magnetization	0.00	μB per cell